PuFeOs: relaxed, GGA-PBE.

Results
- Density: 15.3 Mg/m³
- Calculated formation energy: 1056 meV per atom

Lattice parameters (Å, degrees): 4.2249 4.2249 4.2249 60.00 60.00 60.00
Fractional positions:
Pu 0.0000 0.0000 0.0000
Fe 0.7500 0.7500 0.7500
Os 0.2500 0.2500 0.2500

---

PuFeOs: relaxed, GGA-PBE.

Results
- Density: 16.2 Mg/m³
- Calculated formation energy: 708 meV per atom

Lattice parameters (Å, degrees): 4.1405 4.1405 4.1405 60.00 60.00 60.00
Fractional positions:
Pu 0.0000 0.0000 0.0000
Fe 0.2500 0.2500 0.2500
Os 0.5000 0.5000 0.5000

---

FeRe2Os: relaxed, GGA-PBE.

Results
- Density: 18.5 Mg/m³
- Calculated formation energy: 275 meV per atom

Lattice parameters (Å, degrees): 4.2824 4.2824 4.2824 60.00 60.00 60.00
Fractional positions:
Fe 0.0000 0.0000 0.0000
Re 0.2500 0.2500 0.2500
Re 0.5000 0.5000 0.5000
Os 0.7500 0.7500 0.7500

---

FeReOs2: relaxed, GGA-PBE.

Results
- Density: 18.4 Mg/m³
- Calculated formation energy: 454 meV per atom

Lattice parameters (Å, degrees): 4.3025 4.3025 4.3025 60.00 60.00 60.00
Fractional positions:
Fe 0.0000 0.0000 0.0000
Re 0.7500 0.7500 0.7500
Os 0.2500 0.2500 0.2500
Os 0.5000 0.5000 0.5000

---

ZnFeReOs: relaxed, GGA-PBE.

Results
- Density: 15.3 Mg/m³
- E above lowest polymorph: 0.000 eV per atom
- Calculated formation energy: 235 meV per atom

Lattice parameters (Å, degrees): 4.2451 4.2451 4.2451 60.00 60.00 60.00
Fractional positions:
Zn 0.0000 0.0000 0.0000
Fe 0.2500 0.2500 0.2500
Re 0.5000 0.5000 0.5000
Os 0.7500 0.7500 0.7500

---

Sr2FeOsS6: relaxed, GGA-PBE.

Results
- Energy: -5.518 eV/atom
- Density: 5.2 Mg/m³

Lattice parameters (Å, degrees): 6.2657 6.3587 6.3840 62.83 65.12 64.65
Fractional positions:
Sr 0.2435 0.2494 0.2437
Sr 0.7565 0.7506 0.7563
Fe 0.0000 0.0000 0.0000
Os 0.5000 0.5000 0.5000
S 0.1678 0.3215 0.7303
S 0.2497 0.8248 0.6781
S 0.3290 0.7602 0.1640
S 0.6710 0.2398 0.8360
S 0.7503 0.1752 0.3219
S 0.8322 0.6785 0.2697